[1]
Here is a relaxed Sc2FeCu2 crystal from the Alexandria database. Energies are from PBE.

abc: 4.975 4.975 4.975
angles: 120.20 120.20 89.65
Fractional positions:
Sc: 0.250 0.750 0.500
Sc: 0.750 0.250 0.500
Fe: 0.000 0.000 0.000
Cu: 0.344 0.344 0.000
Cu: 0.656 0.656 0.000

Calculated values
Energy of formation from the pure elements   0.27 eV per atom
ρ   5.22 g/cm³
SG   No. 139
E_tot   -5.5982 eV/atom

***

[2]
Here is a relaxed Ti8V2Ga crystal from the Alexandria database. Energies are from PBE.

abc: 7.215 7.215 5.150
angles: 96.11 96.11 43.35
Fractional positions:
Ti: 0.088 0.088 0.109
Ti: 0.146 0.650 0.382
Ti: 0.288 0.288 0.877
Ti: 0.350 0.854 0.618
Ti: 0.650 0.146 0.382
Ti: 0.712 0.712 0.123
Ti: 0.854 0.350 0.618
Ti: 0.912 0.912 0.891
V: 0.237 0.237 0.366
V: 0.763 0.763 0.634
Ga: 0.500 0.500 0.000

Calculated values
Energy of formation from the pure elements   0.02 eV per atom
ρ   5.04 g/cm³
SG   No. 12
E_tot   -7.6500 eV/atom

***

[3]
Here is a relaxed TcO2F4 crystal from the Alexandria database. Energies are from PBE.

abc: 8.821 8.821 8.821
angles: 153.98 153.98 37.13
Fractional positions:
Tc: 0.000 0.000 0.000
O: 0.257 0.257 0.000
O: 0.743 0.743 0.000
F: 0.000 0.500 0.500
F: 0.113 0.113 0.000
F: 0.500 0.000 0.500
F: 0.887 0.887 0.000

Calculated values
Uncorrected formation energy   -0.579 eV/atom
ρ   2.59 g/cm³
SG   No. 139
E_tot   -4.5462 eV/atom

***

[4]
Here is a relaxed Ba2IrAu crystal from the Alexandria database. Energies are from PBE.

abc: 5.516 5.516 5.516
angles: 60.00 60.00 60.00
Fractional positions:
Ba: 0.250 0.250 0.250
Ba: 0.750 0.750 0.750
Ir: 0.000 0.000 0.000
Au: 0.500 0.500 0.500

Calculated values
Energy of formation from the pure elements   -0.24 eV per atom
ρ   9.29 g/cm³
SG   No. 225
E_tot   -4.2341 eV/atom

***

[5]
Here is a relaxed NdAl5Ag2 crystal from the Alexandria database. Energies are from PBE.

abc: 6.631 6.631 6.631
angles: 143.62 112.13 79.53
Fractional positions:
Nd: 0.000 0.000 0.000
Al: 0.175 0.361 0.813
Al: 0.452 0.639 0.813
Al: 0.500 0.000 0.500
Al: 0.548 0.361 0.187
Al: 0.825 0.639 0.187
Ag: 0.247 0.747 0.500
Ag: 0.753 0.253 0.500

Calculated values
Energy of formation from the pure elements   -0.22 eV per atom
ρ   5.26 g/cm³
SG   No. 71
E_tot   -3.8689 eV/atom

***

[6]
Here is a relaxed K2BrO4 crystal from the Alexandria database. Energies are from PBE.

abc: 6.305 5.500 6.426
angles: 63.28 51.18 65.55
Fractional positions:
K: 0.000 0.000 0.500
K: 0.500 0.500 0.000
Br: 0.225 0.225 0.775
O: 0.069 0.435 0.565
O: 0.138 0.524 0.862
O: 0.435 0.069 0.931
O: 0.524 0.138 0.476

Calculated values
Uncorrected formation energy   -0.575 eV/atom
ρ   2.42 g/cm³
SG   No. 42
E_tot   -3.9608 eV/atom

***

[7]
Here is a relaxed FeTcBr2 crystal from the Alexandria database. Energies are from PBE.

abc: 3.084 3.084 8.552
angles: 90.00 90.00 90.00
Fractional positions:
Fe: 0.000 0.000 0.000
Tc: 0.500 0.500 0.175
Br: 0.000 0.000 0.380
Br: 0.500 0.500 0.816

Calculated values
Uncorrected formation energy   0.368 eV/atom
ρ   6.40 g/cm³
SG   No. 99
E_tot   -5.1759 eV/atom

***

[8]
Here is a relaxed Ba2InAg2 crystal from the Alexandria database. Energies are from PBE.

abc: 6.494 6.494 6.494
angles: 135.18 119.80 78.10
Fractional positions:
Ba: 0.202 0.202 0.000
Ba: 0.798 0.798 0.000
In: 0.500 0.000 0.500
Ag: 0.229 0.500 0.729
Ag: 0.771 0.500 0.271

Calculated values
Energy of formation from the pure elements   -0.32 eV per atom
ρ   6.18 g/cm³
SG   No. 71
E_tot   -2.7811 eV/atom

***

Number 1: V 17.36 A^3/atom. Number 2: V 16.62 A^3/atom. Number 3: V 18.84 A^3/atom. Number 4: V 29.67 A^3/atom. Number 5: V 19.53 A^3/atom. Number 6: V 21.75 A^3/atom. Number 7: V 20.34 A^3/atom. Number 8: V 32.53 A^3/atom.